Material: TiPN3
Method: DFT, PBE
State: relaxed

abc: 5.313 5.313 5.313
angles: 53.97 53.97 53.97
Fractional coordinates of all 10 atoms:
P (0.157, 0.157, 0.157)
P (0.843, 0.843, 0.843)
N (0.440, 0.049, 0.788)
N (0.049, 0.788, 0.440)
N (0.212, 0.560, 0.951)
N (0.951, 0.212, 0.560)
N (0.560, 0.951, 0.212)
N (0.788, 0.440, 0.049)
Ti (0.365, 0.365, 0.365)
Ti (0.635, 0.635, 0.635)

Values from the calculation:
* N(E_F): 0.000 states/eV per cell
* E_form (uncorrected): -0.525 eV per atom
* mass density: 4.41 Mg/m³
* E: -8.181 eV/atom